Density functional theory data (PBE) for an optimized crystal structure of Sm7Pt3.

a b c (Å): 10.0458 10.0458 6.3503
angles (deg): 90.00 90.00 120.00
Positions (direct):
Sm 0.0752 0.5376 0.0000
Sm 0.1264 0.2528 0.2995
Sm 0.1264 0.8736 0.2995
Sm 0.2528 0.1264 0.7995
Sm 0.3333 0.6667 0.5050
Sm 0.4624 0.5376 0.0000
Sm 0.4624 0.9248 0.0000
Sm 0.5376 0.0752 0.5000
Sm 0.5376 0.4624 0.5000
Sm 0.6667 0.3333 0.0050
Sm 0.7472 0.8736 0.2995
Sm 0.8736 0.1264 0.7995
Sm 0.8736 0.7472 0.7995
Sm 0.9248 0.4624 0.5000
Pt 0.1898 0.3795 0.7433
Pt 0.1898 0.8102 0.7433
Pt 0.3795 0.1898 0.2433
Pt 0.6205 0.8102 0.7433
Pt 0.8102 0.1898 0.2433
Pt 0.8102 0.6205 0.2433

The formation energy from the elements comes out at -0.777 eV per atom. Its size of the total moment is 0.001 μB/atom. For the total energy, the calculation gives -5.892 eV/atom. As for the space-group type: P6_3mc, No. 186.